No. 1
Below is a relaxed structure of Pm15TmTl4, with properties calculated at the PBE level.

Summary:
ΔE_f	-0.154	eV per atom
total energy	-4.41	eV per atom
calculated volume	622.52	Å³/cell
space group	No. 123

Lattice parameters (Å, degrees): 4.960 4.960 25.301 90.00 90.00 90.00
Positions (direct):
Pm (0.500, 0.500, 0.000)
Pm (0.500, 0.500, 0.203)
Pm (0.500, 0.500, 0.401)
Pm (0.500, 0.500, 0.599)
Pm (0.500, 0.500, 0.797)
Pm (0.500, 0.000, 0.104)
Pm (0.500, 0.000, 0.302)
Pm (0.500, 0.000, 0.500)
Pm (0.500, 0.000, 0.698)
Pm (0.500, 0.000, 0.896)
Pm (0.000, 0.500, 0.104)
Pm (0.000, 0.500, 0.302)
Pm (0.000, 0.500, 0.500)
Pm (0.000, 0.500, 0.698)
Pm (0.000, 0.500, 0.896)
Tm (0.000, 0.000, 0.000)
Tl (0.000, 0.000, 0.205)
Tl (0.000, 0.000, 0.401)
Tl (0.000, 0.000, 0.599)
Tl (0.000, 0.000, 0.795)

=====

No. 2
Below is a relaxed structure of Pm2Tm2Tl3, with properties calculated at the PBE level.

Summary:
ΔE_f	-0.177	eV per atom
total energy	-3.83	eV per atom
calculated volume	210.16	Å³/cell
energy above the lowest structure with this stoichiometry	44	meV/atom
space group	No. 2

Lattice parameters (Å, degrees): 3.741 7.041 8.905 110.90 89.89 105.37
Positions (direct):
Pm (0.889, 0.778, 0.558)
Pm (0.111, 0.222, 0.442)
Tm (0.621, 0.246, 0.820)
Tm (0.379, 0.754, 0.180)
Tl (0.000, 0.000, 0.000)
Tl (0.698, 0.395, 0.210)
Tl (0.302, 0.605, 0.790)

=====

No. 3
Below is a relaxed structure of Pm3Tm4Tl, with properties calculated at the PBE level.

Summary:
ΔE_f	-0.078	eV per atom
total energy	-4.39	eV per atom
calculated volume	489.87	Å³/cell
space group	No. 31

Lattice parameters (Å, degrees): 6.194 7.054 11.213 90.00 90.00 90.00
Positions (direct):
Pm (0.623, 0.629, 0.000)
Pm (0.975, 0.616, 0.236)
Pm (0.475, 0.384, 0.264)
Pm (0.123, 0.371, 0.500)
Pm (0.475, 0.384, 0.736)
Pm (0.975, 0.616, 0.764)
Tm (0.165, 0.883, 0.000)
Tm (0.647, 0.127, 0.000)
Tm (0.987, 0.122, 0.241)
Tm (0.487, 0.878, 0.259)
Tm (0.147, 0.873, 0.500)
Tm (0.665, 0.117, 0.500)
Tm (0.487, 0.878, 0.741)
Tm (0.987, 0.122, 0.759)
Tl (0.155, 0.358, 0.000)
Tl (0.655, 0.642, 0.500)

=====

No. 4
Below is a relaxed structure of Pm6Tm12Tl, with properties calculated at the PBE level.

Summary:
ΔE_f	0.087	eV per atom
total energy	-4.36	eV per atom
calculated volume	598.21	Å³/cell
space group	No. 148

Lattice parameters (Å, degrees): 8.427 8.427 8.427 89.08 89.08 89.08
Positions (direct):
Pm (0.741, 0.909, 0.308)
Pm (0.692, 0.259, 0.091)
Pm (0.091, 0.692, 0.259)
Pm (0.259, 0.091, 0.692)
Pm (0.308, 0.741, 0.909)
Pm (0.909, 0.308, 0.741)
Tm (0.776, 0.540, 0.436)
Tm (0.436, 0.776, 0.540)
Tm (0.540, 0.436, 0.776)
Tm (0.224, 0.460, 0.564)
Tm (0.564, 0.224, 0.460)
Tm (0.460, 0.564, 0.224)
Tm (0.012, 0.193, 0.358)
Tm (0.807, 0.642, 0.988)
Tm (0.642, 0.988, 0.807)
Tm (0.988, 0.807, 0.642)
Tm (0.193, 0.358, 0.012)
Tm (0.358, 0.012, 0.193)
Tl (0.000, 0.000, 0.000)

=====

No. 5
Below is a relaxed structure of Pm6TmTl, with properties calculated at the PBE level.

Summary:
ΔE_f	-0.086	eV per atom
total energy	-4.50	eV per atom
calculated volume	255.87	Å³/cell
space group	No. 123

Lattice parameters (Å, degrees): 4.994 4.994 10.259 90.00 90.00 90.00
Positions (direct):
Pm (0.500, 0.500, 0.000)
Pm (0.500, 0.500, 0.500)
Pm (0.500, 0.000, 0.255)
Pm (0.500, 0.000, 0.745)
Pm (0.000, 0.500, 0.255)
Pm (0.000, 0.500, 0.745)
Tm (0.000, 0.000, 0.000)
Tl (0.000, 0.000, 0.500)

=====

No. 6
Below is a relaxed structure of Pm4TmTl3, with properties calculated at the PBE level.

Summary:
ΔE_f	-0.239	eV per atom
total energy	-4.06	eV per atom
calculated volume	241.76	Å³/cell
space group	No. 166

Lattice parameters (Å, degrees): 5.483 5.483 9.809 73.77 73.77 60.00
Last column: magnetic moment on the atom in μB.
Positions (direct):
Tl (0.264, 0.264, 0.207)  0.00
Tl (0.736, 0.736, 0.793)  0.00
Tl (0.500, 0.500, 0.500)  0.01
Tm (0.000, 0.000, 0.000)  0.23
Pm (0.869, 0.869, 0.393)  0.20
Pm (0.386, 0.386, 0.843)  0.08
Pm (0.131, 0.131, 0.607)  0.20
Pm (0.614, 0.614, 0.157)  0.08

=====

No. 7
Below is a relaxed structure of Pm6Tm3Tl, with properties calculated at the PBE level.

Summary:
ΔE_f	0.023	eV per atom
total energy	-4.41	eV per atom
calculated volume	655.25	Å³/cell
space group	No. 11

Lattice parameters (Å, degrees): 3.605 12.345 14.759 93.87 90.00 90.00
Positions (direct):
Pm (0.250, 0.380, 0.547)
Pm (0.750, 0.620, 0.453)
Pm (0.250, 0.888, 0.998)
Pm (0.750, 0.112, 0.002)
Pm (0.250, 0.809, 0.608)
Pm (0.750, 0.191, 0.392)
Pm (0.250, 0.702, 0.252)
Pm (0.750, 0.298, 0.748)
Pm (0.250, 0.563, 0.890)
Pm (0.750, 0.437, 0.110)
Pm (0.250, 0.205, 0.188)
Pm (0.750, 0.795, 0.812)
Tm (0.250, 0.100, 0.580)
Tm (0.750, 0.900, 0.420)
Tm (0.250, 0.427, 0.319)
Tm (0.750, 0.573, 0.681)
Tm (0.250, 0.050, 0.802)
Tm (0.750, 0.950, 0.198)
Tl (0.250, 0.311, 0.942)
Tl (0.750, 0.689, 0.058)

=====

No. 8
Below is a relaxed structure of Pm12Tm6Tl, with properties calculated at the PBE level.

Summary:
ΔE_f	-0.003	eV per atom
total energy	-4.54	eV per atom
calculated volume	613.61	Å³/cell
energy above the lowest structure with this stoichiometry	0	meV/atom
space group	No. 148

Lattice parameters (Å, degrees): 9.442 9.442 9.442 110.82 110.82 110.82
Positions (direct):
Pm (0.374, 0.056, 0.587)
Pm (0.056, 0.587, 0.374)
Pm (0.587, 0.374, 0.056)
Pm (0.626, 0.944, 0.413)
Pm (0.944, 0.413, 0.626)
Pm (0.413, 0.626, 0.944)
Pm (0.263, 0.898, 0.845)
Pm (0.155, 0.737, 0.102)
Pm (0.102, 0.155, 0.737)
Pm (0.737, 0.102, 0.155)
Pm (0.845, 0.263, 0.898)
Pm (0.898, 0.845, 0.263)
Tm (0.216, 0.318, 0.473)
Tm (0.682, 0.527, 0.784)
Tm (0.527, 0.784, 0.682)
Tm (0.784, 0.682, 0.527)
Tm (0.318, 0.473, 0.216)
Tm (0.473, 0.216, 0.318)
Tl (0.000, 0.000, 0.000)

=====

No. 9
Below is a relaxed structure of Pm5TmTl2, with properties calculated at the PBE level.

Summary:
ΔE_f	-0.069	eV per atom
total energy	-4.19	eV per atom
calculated volume	536.96	Å³/cell
energy above the lowest structure with this stoichiometry	28	meV/atom
space group	No. 194

Lattice parameters (Å, degrees): 5.520 5.520 20.345 90.00 90.00 120.00
Positions (direct):
Pm (0.000, 0.000, 0.338)
Pm (0.000, 0.000, 0.162)
Pm (0.667, 0.333, 0.250)
Pm (0.000, 0.000, 0.838)
Pm (0.667, 0.333, 0.060)
Pm (0.333, 0.667, 0.750)
Pm (0.333, 0.667, 0.940)
Pm (0.333, 0.667, 0.560)
Pm (0.667, 0.333, 0.440)
Pm (0.000, 0.000, 0.662)
Tm (0.333, 0.667, 0.250)
Tm (0.667, 0.333, 0.750)
Tl (0.667, 0.333, 0.598)
Tl (0.333, 0.667, 0.098)
Tl (0.333, 0.667, 0.402)
Tl (0.667, 0.333, 0.902)

=====

No. 10
Below is a relaxed structure of Pm2TmTl2, with properties calculated at the PBE level.

Summary:
ΔE_f	-0.237	eV per atom
total energy	-3.98	eV per atom
calculated volume	297.14	Å³/cell
energy above the lowest structure with this stoichiometry	78	meV/atom
space group	No. 36

Lattice parameters (Å, degrees): 5.115 6.613 9.149 90.00 106.23 90.00
Positions (direct):
Pm (0.989, 0.801, 0.978)
Pm (0.801, 0.357, 0.601)
Pm (0.199, 0.857, 0.399)
Pm (0.011, 0.301, 0.022)
Tm (0.391, 0.070, 0.782)
Tm (0.609, 0.570, 0.218)
Tl (0.411, 0.554, 0.823)
Tl (0.804, 0.853, 0.607)
Tl (0.196, 0.353, 0.393)
Tl (0.589, 0.054, 0.177)

=====

No. 11
Below is a relaxed structure of Pm7TmTl2, with properties calculated at the PBE level.

Summary:
ΔE_f	0.341	eV per atom
total energy	-3.91	eV per atom
calculated volume	400.92	Å³/cell
space group	No. 65

Lattice parameters (Å, degrees): 5.329 9.310 9.310 119.78 90.00 90.00
Positions (direct):
Pm (0.000, 0.778, 0.222)
Pm (0.000, 0.222, 0.778)
Pm (0.500, 0.063, 0.300)
Pm (0.500, 0.937, 0.700)
Pm (0.500, 0.300, 0.063)
Pm (0.500, 0.700, 0.937)
Pm (0.500, 0.500, 0.500)
Tm (0.000, 0.000, 0.000)
Tl (0.500, 0.693, 0.307)
Tl (0.500, 0.307, 0.693)

=====

No. 12
Below is a relaxed structure of Pm2Tm8Tl, with properties calculated at the PBE level.

Summary:
ΔE_f	-0.023	eV per atom
total energy	-4.35	eV per atom
calculated volume	336.65	Å³/cell
space group	No. 12

Lattice parameters (Å, degrees): 5.496 6.386 10.016 84.92 105.92 90.00
Positions (direct):
Pm (0.756, 0.332, 0.512)
Pm (0.244, 0.668, 0.488)
Tm (0.422, 0.599, 0.844)
Tm (0.660, 0.876, 0.321)
Tm (0.848, 0.809, 0.696)
Tm (0.955, 0.273, 0.911)
Tm (0.152, 0.191, 0.304)
Tm (0.340, 0.124, 0.679)
Tm (0.578, 0.401, 0.156)
Tm (0.045, 0.727, 0.089)
Tl (0.500, 0.000, 0.000)

=====

No. 13
Below is a relaxed structure of Pm5Tm4Tl2, with properties calculated at the PBE level.

Summary:
ΔE_f	0.252	eV per atom
total energy	-3.96	eV per atom
calculated volume	374.56	Å³/cell
space group	No. 166

Lattice parameters (Å, degrees): 5.270 5.270 15.868 80.44 80.44 60.00
Positions (direct):
Pm (0.801, 0.801, 0.598)
Pm (0.648, 0.648, 0.057)
Pm (0.500, 0.500, 0.500)
Pm (0.352, 0.352, 0.943)
Pm (0.199, 0.199, 0.402)
Tm (0.726, 0.726, 0.822)
Tm (0.574, 0.574, 0.279)
Tm (0.426, 0.426, 0.721)
Tm (0.274, 0.274, 0.178)
Tl (0.105, 0.105, 0.686)
Tl (0.895, 0.895, 0.314)

=====

No. 14
Below is a relaxed structure of PmTmTl, with properties calculated at the PBE level.

Summary:
ΔE_f	-0.028	eV per atom
total energy	-3.89	eV per atom
calculated volume	100.72	Å³/cell
energy above the lowest structure with this stoichiometry	226	meV/atom
space group	No. 216

Lattice parameters (Å, degrees): 5.223 5.223 5.223 60.00 60.00 60.00
Positions (direct):
Tl (0.250, 0.250, 0.250)
Tm (0.000, 0.000, 0.000)
Pm (0.500, 0.500, 0.500)

=====

No. 15
Below is a relaxed structure of Pm2TmTl4, with properties calculated at the PBE level.

Summary:
ΔE_f	-0.235	eV per atom
total energy	-3.58	eV per atom
calculated volume	432.91	Å³/cell
energy above the lowest structure with this stoichiometry	0	meV/atom
space group	No. 65

Lattice parameters (Å, degrees): 5.296 7.950 10.282 90.00 90.00 90.00
Positions (direct):
Pm (0.500, 0.000, 0.789)
Pm (0.500, 0.000, 0.211)
Pm (0.500, 0.500, 0.711)
Pm (0.500, 0.500, 0.289)
Tm (0.000, 0.000, 0.500)
Tm (0.000, 0.500, 0.000)
Tl (0.000, 0.750, 0.750)
Tl (0.000, 0.250, 0.250)
Tl (0.000, 0.250, 0.750)
Tl (0.000, 0.750, 0.250)
Tl (0.500, 0.790, 0.500)
Tl (0.500, 0.210, 0.500)
Tl (0.500, 0.710, 0.000)
Tl (0.500, 0.290, 0.000)

=====

No. 16
Below is a relaxed structure of Pm9Tm2Tl, with properties calculated at the PBE level.

Summary:
ΔE_f	-0.048	eV per atom
total energy	-4.55	eV per atom
calculated volume	389.13	Å³/cell
space group	No. 123

Lattice parameters (Å, degrees): 5.031 5.031 15.374 90.00 90.00 90.00
Positions (direct):
Pm (0.500, 0.500, 0.000)
Pm (0.500, 0.500, 0.331)
Pm (0.500, 0.500, 0.669)
Pm (0.500, 0.000, 0.163)
Pm (0.500, 0.000, 0.500)
Pm (0.500, 0.000, 0.837)
Pm (0.000, 0.500, 0.163)
Pm (0.000, 0.500, 0.500)
Pm (0.000, 0.500, 0.837)
Tm (0.000, 0.000, 0.332)
Tm (0.000, 0.000, 0.668)
Tl (0.000, 0.000, 0.000)

=====

No. 17
Below is a relaxed structure of Pm5Tm8Tl, with properties calculated at the PBE level.

Summary:
ΔE_f	0.117	eV per atom
total energy	-4.30	eV per atom
calculated volume	451.27	Å³/cell
space group	No. 5

Lattice parameters (Å, degrees): 8.589 8.826 8.589 121.25 121.96 86.52
Positions (direct):
Pm (0.884, 0.283, 0.065)
Pm (0.067, 0.041, 0.309)
Pm (0.782, 0.717, 0.601)
Pm (0.498, 0.000, 0.498)
Pm (0.268, 0.959, 0.026)
Tm (0.054, 0.575, 0.998)
Tm (0.962, 0.066, 0.650)
Tm (0.773, 0.282, 0.414)
Tm (0.683, 0.680, 0.105)
Tm (0.425, 0.320, 0.003)
Tm (0.584, 0.934, 0.896)
Tm (0.423, 0.425, 0.479)
Tm (0.132, 0.718, 0.491)
Tl (0.214, 0.500, 0.714)

=====

No. 18
Below is a relaxed structure of Pm3TmTl3, with properties calculated at the PBE level.

Summary:
ΔE_f	-0.263	eV per atom
total energy	-3.95	eV per atom
calculated volume	851.72	Å³/cell
energy above the lowest structure with this stoichiometry	0	meV/atom
space group	No. 198

Lattice parameters (Å, degrees): 9.479 9.479 9.479 90.00 90.00 90.00
Positions (direct):
Pm (0.827, 0.327, 0.173)
Pm (0.932, 0.932, 0.932)
Pm (0.823, 0.677, 0.323)
Pm (0.173, 0.827, 0.327)
Pm (0.177, 0.177, 0.177)
Pm (0.323, 0.823, 0.677)
Pm (0.068, 0.432, 0.568)
Pm (0.327, 0.173, 0.827)
Pm (0.677, 0.323, 0.823)
Pm (0.673, 0.673, 0.673)
Pm (0.568, 0.068, 0.432)
Pm (0.432, 0.568, 0.068)
Tm (0.076, 0.576, 0.924)
Tm (0.924, 0.076, 0.576)
Tm (0.424, 0.424, 0.424)
Tm (0.576, 0.924, 0.076)
Tl (0.757, 0.632, 0.998)
Tl (0.868, 0.002, 0.257)
Tl (0.998, 0.757, 0.632)
Tl (0.132, 0.502, 0.243)
Tl (0.243, 0.132, 0.502)
Tl (0.257, 0.868, 0.002)
Tl (0.002, 0.257, 0.868)
Tl (0.368, 0.498, 0.743)
Tl (0.502, 0.243, 0.132)
Tl (0.632, 0.998, 0.757)
Tl (0.743, 0.368, 0.498)
Tl (0.498, 0.743, 0.368)

=====

No. 19
Below is a relaxed structure of Pm3Tm5Tl2, with properties calculated at the PBE level.

Summary:
ΔE_f	0.089	eV per atom
total energy	-4.05	eV per atom
calculated volume	634.49	Å³/cell
space group	No. 72

Lattice parameters (Å, degrees): 6.407 10.535 10.535 94.22 72.30 72.30
Positions (direct):
Pm (0.250, 0.000, 0.000)
Pm (0.750, 0.000, 0.000)
Pm (0.380, 0.355, 0.886)
Pm (0.620, 0.645, 0.114)
Pm (0.880, 0.886, 0.355)
Pm (0.120, 0.114, 0.645)
Tm (0.250, 0.500, 0.500)
Tm (0.750, 0.500, 0.500)
Tm (0.505, 0.745, 0.745)
Tm (0.995, 0.255, 0.255)
Tm (0.495, 0.255, 0.255)
Tm (0.005, 0.745, 0.745)
Tm (0.116, 0.547, 0.220)
Tm (0.884, 0.453, 0.780)
Tm (0.616, 0.220, 0.547)
Tm (0.384, 0.780, 0.453)
Tl (0.138, 0.716, 0.009)
Tl (0.862, 0.284, 0.991)
Tl (0.638, 0.009, 0.716)
Tl (0.362, 0.991, 0.284)